# 1
Entry from Alexandria: a relaxed structure of Ca2PaSbN4 (GGA-PBE).

abc: 6.0201 3.5655 6.1431
angles: 90.00 109.20 90.00
Element x y z (fractional)
Ca 0.0000 0.0000 0.0000
Ca 0.0000 0.5000 0.5000
Pa 0.5000 0.0000 0.5000
Sb 0.5000 0.5000 0.0000
N 0.2746 0.0000 0.7268
N 0.2762 0.5000 0.2761
N 0.7238 0.5000 0.7239
N 0.7254 0.0000 0.2732

Computed properties:
raw formation energy	-0.900	eV/atom

---

# 2
Entry from Alexandria: a relaxed structure of Ca3Pa3SbN8 (GGA-PBE).

abc: 6.9675 6.9675 6.9675
angles: 61.30 61.30 61.30
Element x y z (fractional)
Ca 0.0000 0.5000 0.5000
Ca 0.5000 0.0000 0.5000
Ca 0.5000 0.5000 0.0000
Pa 0.0000 0.0000 0.5000
Pa 0.0000 0.5000 0.0000
Pa 0.5000 0.0000 0.0000
Sb 0.5000 0.5000 0.5000
N 0.2170 0.7397 0.7397
N 0.2433 0.2433 0.2433
N 0.2603 0.2603 0.7830
N 0.2603 0.7830 0.2603
N 0.7396 0.2170 0.7396
N 0.7396 0.7396 0.2170
N 0.7567 0.7567 0.7567
N 0.7830 0.2603 0.2604

Computed properties:
raw formation energy	-1.096	eV/atom

---

# 3
Entry from Alexandria: a relaxed structure of Ca4ScPa3N8 (GGA-PBE).

abc: 6.9700 6.9700 6.9700
angles: 60.23 60.23 60.23
Element x y z (fractional)
Ca 0.0000 0.0000 0.0000
Ca 0.0000 0.5000 0.5000
Ca 0.5000 0.0000 0.5000
Ca 0.5000 0.5000 0.0000
Sc 0.5000 0.5000 0.5000
Pa 0.0000 0.0000 0.5000
Pa 0.0000 0.5000 0.0000
Pa 0.5000 0.0000 0.0000
N 0.2334 0.7398 0.7398
N 0.2394 0.2394 0.2394
N 0.2602 0.2602 0.7666
N 0.2602 0.7666 0.2602
N 0.7398 0.2334 0.7398
N 0.7398 0.7398 0.2334
N 0.7606 0.7606 0.7606
N 0.7666 0.2602 0.2602

Computed properties:
raw formation energy	-1.484	eV/atom
D(E_F)	8.9	states/eV per cell

---

# 4
Entry from Alexandria: a relaxed structure of CaSc3Pa2N6 (GGA-PBE).

abc: 7.4740 7.4740 6.7556
angles: 103.24 103.24 25.94
Element x y z (fractional)
Ca 0.0000 0.0000 0.0000
Sc 0.0000 0.0000 0.5000
Sc 0.3361 0.3361 0.1677
Sc 0.6639 0.6639 0.8323
Pa 0.3347 0.3347 0.6684
Pa 0.6653 0.6653 0.3316
N 0.1609 0.1609 0.5954
N 0.1719 0.1719 0.0844
N 0.4938 0.4938 0.7294
N 0.5062 0.5062 0.2706
N 0.8281 0.8281 0.9156
N 0.8391 0.8391 0.4046

Computed properties:
raw formation energy	-1.648	eV/atom
D(E_F)	4.5	states/eV per cell

---

# 5
Entry from Alexandria: a relaxed structure of Ca2PaSiN4 (GGA-PBE).

abc: 5.7113 5.7113 11.8226
angles: 90.00 90.00 145.80
Element x y z (fractional)
Ca 0.1338 0.8662 0.5418
Ca 0.1338 0.8662 0.9582
Ca 0.8662 0.1338 0.0418
Ca 0.8662 0.1338 0.4582
Pa 0.4039 0.5961 0.7500
Pa 0.5961 0.4039 0.2500
Si 0.3292 0.6708 0.2500
Si 0.6708 0.3292 0.7500
N 0.0838 0.9162 0.7500
N 0.2195 0.7805 0.1428
N 0.2195 0.7805 0.3572
N 0.5000 0.5000 0.0000
N 0.5000 0.5000 0.5000
N 0.7805 0.2195 0.6428
N 0.7805 0.2195 0.8572
N 0.9162 0.0838 0.2500

Computed properties:
raw formation energy	-0.954	eV/atom
D(E_F)	3.5	states/eV per cell

---

# 6
Entry from Alexandria: a relaxed structure of CaPaSiN4 (GGA-PBE).

abc: 5.6330 5.4074 6.7910
angles: 90.00 106.45 90.00
Element x y z (fractional)
Ca 0.1935 0.2500 0.4188
Ca 0.8065 0.7500 0.5812
Pa 0.2750 0.2500 0.9445
Pa 0.7250 0.7500 0.0555
Si 0.2523 0.7500 0.1858
Si 0.7477 0.2500 0.8142
N 0.0486 0.7500 0.3360
N 0.0589 0.7500 0.9318
N 0.4599 0.5064 0.2094
N 0.4599 0.9936 0.2094
N 0.5401 0.0064 0.7906
N 0.5401 0.4936 0.7906
N 0.9411 0.2500 0.0682
N 0.9514 0.2500 0.6640

Computed properties:
raw formation energy	-1.023	eV/atom
D(E_F)	8.9	states/eV per cell

---

# 7
Entry from Alexandria: a relaxed structure of Ca3Sm2PaN6 (GGA-PBE).

abc: 6.1822 6.1822 6.1188
angles: 99.72 99.72 120.01
Element x y z (fractional)
Ca 0.0000 0.0000 0.0000
Ca 0.3339 0.6661 0.0000
Ca 0.6661 0.3339 0.0000
Sm 0.1668 0.8332 0.5000
Sm 0.8332 0.1668 0.5000
Pa 0.5000 0.5000 0.5000
N 0.1121 0.4245 0.2739
N 0.2630 0.2630 0.7215
N 0.4245 0.1121 0.2739
N 0.5755 0.8879 0.7261
N 0.7370 0.7370 0.2785
N 0.8879 0.5755 0.7261

Computed properties:
raw formation energy	-1.293	eV/atom
D(E_F)	13.7	states/eV per cell

---

# 8
Entry from Alexandria: a relaxed structure of CaSm2PaN4 (GGA-PBE).

abc: 6.0772 3.5763 6.1282
angles: 90.00 108.68 90.00
Element x y z (fractional)
Ca 0.0000 0.0000 0.0000
Sm 0.0000 0.5000 0.5000
Sm 0.5000 0.0000 0.5000
Pa 0.5000 0.5000 0.0000
N 0.2679 0.0000 0.7651
N 0.2757 0.5000 0.2368
N 0.7243 0.5000 0.7632
N 0.7321 0.0000 0.2349

Computed properties:
raw formation energy	-1.483	eV/atom
D(E_F)	2.8	states/eV per cell

---

- What is the formula in the eighth record?
  CaSm2PaN4